[1]
CsPtIBr2 | PBE | relaxed

Cell lengths 5.3909, 5.3909, 5.5691 Å; angles 90.00, 90.00, 90.00 degrees
Space group P4/mmm (No. 123)
Asymmetric unit:
Cs (0.0000, 0.0000, 0.0000) x1
Pt (0.5000, 0.5000, 0.5000) x1
I (0.5000, 0.5000, 0.0000) x1
Br (0.0000, 0.5000, 0.5000) x2

For the density of states at the Fermi level, the calculation gives 0.468 states/eV/atom. The value obtained for the uncorrected formation energy is -0.713 eV/atom.

[2]
Cs8PtI3Br3 | PBE | relaxed

Cell lengths 18.3932, 10.6135, 10.8605 Å; angles 90.00, 124.41, 90.00 degrees
Space group C2/m (No. 12)
Asymmetric unit:
Cs (0.0050, 0.2256, 0.2893) x8
Cs (0.2206, 0.0000, 0.7108) x4
Cs (0.2444, 0.5000, 0.7332) x4
Pt (0.0000, 0.0000, 0.5000) x2
I (0.0000, 0.0000, 0.0000) x2
I (0.2500, 0.2500, 0.0000) x4
Br (0.0000, 0.5000, 0.5000) x2
Br (0.2500, 0.2500, 0.5000) x4

For the density of states at the Fermi level, the calculation gives 0.000 states/eV/atom. The value obtained for the uncorrected formation energy is -1.339 eV/atom.

[3]
CsPu2IBr4 | PBE | relaxed

Cell lengths 5.1209, 5.1209, 11.7880 Å; angles 90.00, 90.00, 90.00 degrees
Space group P4/mmm (No. 123)
Asymmetric unit:
Cs (0.0000, 0.0000, 0.0000) x1
Pu (0.5000, 0.5000, 0.3456) x2
I (0.0000, 0.0000, 0.5000) x1
Br (0.0000, 0.5000, 0.2193) x4

For the density of states at the Fermi level, the calculation gives 3.849 states/eV/atom. The value obtained for the uncorrected formation energy is -1.272 eV/atom.

[4]
Cs2PuI2Br4 | PBE | relaxed

Cell lengths 8.2620, 8.2620, 11.6128 Å; angles 90.00, 90.00, 90.00 degrees
Space group I4/mmm (No. 139)
Asymmetric unit:
Cs (0.0000, 0.5000, 0.2500) x4
Pu (0.0000, 0.0000, 0.0000) x2
I (0.0000, 0.0000, 0.2592) x4
Br (0.2364, 0.2364, 0.0000) x8

For the density of states at the Fermi level, the calculation gives 0.866 states/eV/atom. The value obtained for the uncorrected formation energy is -1.474 eV/atom.

[5]
CsPuI3Br | PBE | relaxed

Cell lengths 19.0576, 8.1355, 7.7860 Å; angles 90.00, 113.74, 90.00 degrees
Space group C2/m (No. 12)
Asymmetric unit:
Cs (0.1913, 0.0000, 0.1587) x4
Pu (0.0331, 0.5000, 0.3043) x4
I (0.1040, 0.2672, 0.6601) x8
I (0.1938, 0.5000, 0.2959) x4
Br (0.0000, 0.2597, 0.0000) x4

For the density of states at the Fermi level, the calculation gives 1.853 states/eV/atom. The value obtained for the uncorrected formation energy is -1.312 eV/atom.

[6]
Cs2PuIBr6 | PBE | relaxed

Cell lengths 7.8722, 7.8722, 9.8241 Å; angles 90.00, 90.00, 120.00 degrees
Space group P-3m1 (No. 164)
Asymmetric unit:
Cs (0.3333, 0.6667, 0.3331) x2
Pu (0.0000, 0.0000, 0.5000) x1
I (0.0000, 0.0000, 0.0000) x1
Br (0.1660, 0.3321, 0.6594) x6

For the density of states at the Fermi level, the calculation gives 1.295 states/eV/atom. The value obtained for the uncorrected formation energy is -1.308 eV/atom.

[7]
Cs2PuI3Br3 | PBE | relaxed

Cell lengths 9.6741, 9.6741, 4.4568 Å; angles 90.00, 90.00, 120.00 degrees
Space group P-62m (No. 189)
Asymmetric unit:
Cs (0.3333, 0.6667, 0.0000) x2
Pu (0.0000, 0.0000, 0.5000) x1
I (0.0000, 0.3477, 0.5000) x3
Br (0.0000, 0.7926, 0.0000) x3

For the density of states at the Fermi level, the calculation gives 1.452 states/eV/atom. The value obtained for the uncorrected formation energy is -1.032 eV/atom.

[8]
Cs2PuI2Br2 | PBE | relaxed

Cell lengths 5.8730, 5.8730, 19.5202 Å; angles 90.00, 90.00, 90.00 degrees
Space group I4/mmm (No. 139)
Asymmetric unit:
Cs (0.0000, 0.0000, 0.1364) x4
Pu (0.0000, 0.0000, 0.5000) x2
I (0.0000, 0.0000, 0.3354) x4
Br (0.0000, 0.5000, 0.0000) x4

For the density of states at the Fermi level, the calculation gives 2.537 states/eV/atom. The value obtained for the uncorrected formation energy is -1.494 eV/atom.

[9]
CsPuI2Br | PBE | relaxed

Cell lengths 6.3226, 6.3226, 5.8498 Å; angles 90.00, 90.00, 90.00 degrees
Space group P4mm (No. 99)
Asymmetric unit:
Cs (0.0000, 0.0000, 0.0000) x1
Pu (0.5000, 0.5000, 0.4987) x1
I (0.0000, 0.5000, 0.4992) x2
Br (0.5000, 0.5000, 0.9988) x1

For the density of states at the Fermi level, the calculation gives 3.694 states/eV/atom. The value obtained for the uncorrected formation energy is -1.328 eV/atom.

[10]
CsRbIBr | PBE | relaxed

Cell lengths 8.8977, 8.8977, 8.8977 Å; angles 90.00, 90.00, 90.00 degrees
Space group F-43m (No. 216)
Asymmetric unit:
Cs (0.0000, 0.0000, 0.0000) x4
Rb (0.0000, 0.0000, 0.5000) x4
I (0.2500, 0.2500, 0.7500) x4
Br (0.2500, 0.2500, 0.2500) x4

For the density of states at the Fermi level, the calculation gives 0.000 states/eV/atom. The value obtained for the uncorrected formation energy is -1.584 eV/atom.

[11]
CsRb2I6Br | PBE | relaxed

Cell lengths 9.6558, 9.6558, 12.5914 Å; angles 90.00, 90.00, 90.00 degrees
Space group I4/mmm (No. 139)
Asymmetric unit:
Cs (0.0000, 0.0000, 0.0000) x2
Rb (0.0000, 0.5000, 0.2500) x4
I (0.0000, 0.0000, 0.2823) x4
I (0.2401, 0.2401, 0.5000) x8
Br (0.0000, 0.0000, 0.5000) x2

For the density of states at the Fermi level, the calculation gives 0.286 states/eV/atom. The value obtained for the uncorrected formation energy is -0.602 eV/atom.

[12]
CsRb2IBr4 | PBE | relaxed

Cell lengths 13.4985, 15.6403, 9.7290 Å; angles 90.00, 130.48, 90.00 degrees
Space group C2/c (No. 15)
Asymmetric unit:
Cs (0.0000, 0.0000, 0.0000) x4
Rb (0.0000, 0.5000, 0.0000) x4
Rb (0.2500, 0.2500, 0.0000) x4
I (0.2500, 0.2500, 0.5000) x4
Br (0.0666, 0.2555, 0.5407) x8
Br (0.2403, 0.4615, 0.9923) x8

For the density of states at the Fermi level, the calculation gives 0.000 states/eV/atom. The value obtained for the uncorrected formation energy is -1.302 eV/atom.

[13]
CsRb2IBr | PBE | relaxed

Cell lengths 6.6522, 6.6522, 7.2591 Å; angles 90.00, 90.00, 90.00 degrees
Space group P4/mmm (No. 123)
Asymmetric unit:
Cs (0.0000, 0.0000, 0.0000) x1
Rb (0.0000, 0.5000, 0.5000) x2
I (0.5000, 0.5000, 0.0000) x1
Br (0.0000, 0.0000, 0.5000) x1

For the density of states at the Fermi level, the calculation gives 0.325 states/eV/atom. The value obtained for the uncorrected formation energy is -1.102 eV/atom.

[14]
Cs4Rb2I3Br2 | PBE | relaxed

Cell lengths 6.8778, 6.8778, 29.5533 Å; angles 90.00, 90.00, 90.00 degrees
Space group I4/mmm (No. 139)
Asymmetric unit:
Cs (0.0000, 0.5000, 0.0870) x8
Rb (0.0000, 0.0000, 0.2225) x4
I (0.0000, 0.0000, 0.3440) x4
I (0.0000, 0.0000, 0.5000) x2
Br (0.0000, 0.0000, 0.1071) x4

For the density of states at the Fermi level, the calculation gives 0.190 states/eV/atom. The value obtained for the uncorrected formation energy is -1.384 eV/atom.

[15]
Cs2RbI2Br6 | PBE | relaxed

Cell lengths 16.7937, 8.0543, 9.5450 Å; angles 90.00, 122.28, 90.00 degrees
Space group C2/m (No. 12)
Asymmetric unit:
Cs (0.2250, 0.0000, 0.1878) x4
Rb (0.0000, 0.0000, 0.5000) x2
I (0.0726, 0.5000, 0.2787) x4
Br (0.0930, 0.2689, 0.8265) x8
Br (0.2418, 0.0000, 0.6023) x4

For the density of states at the Fermi level, the calculation gives 0.665 states/eV/atom. The value obtained for the uncorrected formation energy is -0.879 eV/atom.

[16]
Cs2Rb4I3Br2 | PBE | relaxed

Cell lengths 6.5746, 6.5746, 29.4704 Å; angles 90.00, 90.00, 90.00 degrees
Space group I4/mmm (No. 139)
Asymmetric unit:
Cs (0.0000, 0.0000, 0.2152) x4
Rb (0.0000, 0.5000, 0.0827) x8
I (0.0000, 0.0000, 0.3456) x4
I (0.0000, 0.0000, 0.5000) x2
Br (0.0000, 0.0000, 0.0929) x4

For the density of states at the Fermi level, the calculation gives 0.214 states/eV/atom. The value obtained for the uncorrected formation energy is -1.370 eV/atom.

[17]
Cs2ReI5Br | PBE | relaxed

Cell lengths 8.2711, 8.2711, 11.6771 Å; angles 90.00, 90.00, 90.00 degrees
Space group I4mm (No. 107)
Asymmetric unit:
Cs (0.0000, 0.5000, 0.0000) x4
Re (0.0000, 0.0000, 0.2494) x2
I (0.0000, 0.0000, 0.4843) x2
I (0.2354, 0.2354, 0.2496) x8
Br (0.0000, 0.0000, 0.0313) x2

The value obtained for the uncorrected formation energy is -0.755 eV/atom.

[18]
Cs2ReI2Br4 | PBE | relaxed

Cell lengths 8.1089, 8.1089, 11.0260 Å; angles 90.00, 90.00, 90.00 degrees
Space group I4/mmm (No. 139)
Asymmetric unit:
Cs (0.0000, 0.5000, 0.2500) x4
Re (0.0000, 0.0000, 0.0000) x2
I (0.0000, 0.0000, 0.2496) x4
Br (0.2217, 0.2217, 0.0000) x8

The value obtained for the uncorrected formation energy is -0.922 eV/atom.

[19]
Cs2ReI4Br2 | PBE | relaxed

Cell lengths 14.0926, 8.0439, 7.1616 Å; angles 90.00, 102.71, 90.00 degrees
Space group C2/m (No. 12)
Asymmetric unit:
Cs (0.1500, 0.0000, 0.2881) x4
Re (0.0000, 0.5000, 0.5000) x2
I (0.1009, 0.2590, 0.7375) x8
Br (0.1304, 0.5000, 0.3071) x4

The value obtained for the uncorrected formation energy is -0.783 eV/atom.

[20]
CsRhIBr2 | PBE | relaxed

Cell lengths 5.3237, 5.3237, 5.5014 Å; angles 90.00, 90.00, 90.00 degrees
Space group P4/mmm (No. 123)
Asymmetric unit:
Cs (0.0000, 0.0000, 0.0000) x1
Rh (0.5000, 0.5000, 0.5000) x1
I (0.5000, 0.5000, 0.0000) x1
Br (0.0000, 0.5000, 0.5000) x2

For the density of states at the Fermi level, the calculation gives 0.793 states/eV/atom. The value obtained for the uncorrected formation energy is -0.698 eV/atom.

[21]
CsRuI2Br | PBE | relaxed

Cell lengths 6.9244, 6.9244, 4.7539 Å; angles 90.00, 90.00, 90.00 degrees
Space group P4/mmm (No. 123)
Asymmetric unit:
Cs (0.0000, 0.0000, 0.0000) x1
Ru (0.5000, 0.5000, 0.0000) x1
I (0.0000, 0.5000, 0.5000) x2
Br (0.5000, 0.5000, 0.5000) x1

For the density of states at the Fermi level, the calculation gives 1.725 states/eV/atom. The value obtained for the uncorrected formation energy is 0.159 eV/atom.

[22]
Cs6SI2Br | PBE | relaxed

Cell lengths 16.4516, 9.9642, 9.3706 Å; angles 90.00, 124.44, 90.00 degrees
Space group C2/m (No. 12)
Asymmetric unit:
Cs (0.0684, 0.2384, 0.3058) x8
Cs (0.2350, 0.0000, 0.0993) x4
S (0.0000, 0.0000, 0.0000) x2
I (0.2484, 0.5000, 0.3013) x4
Br (0.0000, 0.5000, 0.5000) x2

For the density of states at the Fermi level, the calculation gives 0.224 states/eV/atom. The value obtained for the uncorrected formation energy is -1.218 eV/atom.

[23]
CsSIBr2 | PBE | relaxed

Cell lengths 5.6444, 5.6444, 5.4085 Å; angles 90.00, 90.00, 90.00 degrees
Space group P4/mmm (No. 123)
Asymmetric unit:
Cs (0.0000, 0.0000, 0.0000) x1
S (0.5000, 0.5000, 0.5000) x1
I (0.5000, 0.5000, 0.0000) x1
Br (0.0000, 0.5000, 0.5000) x2

For the density of states at the Fermi level, the calculation gives 0.833 states/eV/atom. The value obtained for the uncorrected formation energy is -0.557 eV/atom.